Rb2MgCd3Sn4: optimized geometry, PBE.

Properties
* crystal system: tetragonal
* E_tot: -2.384 eV per atom
* V: 30.722 Å³/atom

Unit cell a=4.8923 b=4.8923 c=12.8358 alpha=90.00 beta=90.00 gamma=90.00
Space group P-4m2 (No. 115)
Unique sites:
Rb1 0.0000 0.5000 0.2483 [2 per cell]
Mg1 0.5000 0.5000 0.0000 [1 per cell]
Cd1 0.0000 0.0000 0.0000 [1 per cell]
Cd2 0.0000 0.5000 0.6435 [2 per cell]
Sn1 0.0000 0.0000 0.5000 [1 per cell]
Sn2 0.0000 0.5000 0.8680 [2 per cell]
Sn3 0.5000 0.5000 0.5000 [1 per cell]

Rb2MgCd4Sn3: optimized geometry, PBE.

Properties
* crystal system: tetragonal
* E_tot: -2.036 eV per atom
* V: 30.723 Å³/atom

Unit cell a=4.9383 b=4.9383 c=12.5984 alpha=90.00 beta=90.00 gamma=90.00
Space group P-4m2 (No. 115)
Unique sites:
Rb1 0.0000 0.5000 0.2442 [2 per cell]
Mg1 0.0000 0.0000 0.5000 [1 per cell]
Cd1 0.0000 0.0000 0.0000 [1 per cell]
Cd2 0.0000 0.5000 0.6368 [2 per cell]
Cd3 0.5000 0.5000 0.0000 [1 per cell]
Sn1 0.0000 0.5000 0.8678 [2 per cell]
Sn2 0.5000 0.5000 0.5000 [1 per cell]

The records above give, respectively, theoretical density values of 5.4; 5.4 g/cm³.